1.
A plane-wave DFT calculation with PBE was carried out for a relaxed structure of PuAlMo.

```
3
Lattice="-0.690 0.421 4.344 1.527 3.548 2.147 -2.817 3.054 1.504" Properties=species:S:1:pos:R:3 pbc="T T T"
Al -0.495 1.756 1.999
Mo 0.000 0.000 0.000
Pu -1.485 5.267 5.996
```

Values from the calculation:
- distance to the lowest polymorph of the same formula (eV/f.u.) = 0.00
- E_tot (Ha/atom) = -0.340

=====

2.
A plane-wave DFT calculation with PBE was carried out for a relaxed structure of PuAlMo.

```
3
Lattice="-0.214 -4.258 -1.339 -3.766 -1.587 -1.806 -0.152 -0.966 -4.360" Properties=species:S:1:pos:R:3 pbc="T T T"
Al -2.066 -3.406 -3.752
Mo 0.000 0.000 0.000
Pu -1.033 -1.703 -1.876
```

Values from the calculation:
- distance to the lowest polymorph of the same formula (eV/f.u.) = 2.19
- E_tot (Ha/atom) = -0.313

=====

3.
A plane-wave DFT calculation with PBE was carried out for a relaxed structure of RbAlMo.

```
3
Lattice="0.000 3.842 3.842 3.842 0.000 3.842 3.842 3.842 0.000" Properties=species:S:1:pos:R:3 pbc="T T T"
Al 1.921 1.921 1.921
Mo 5.764 5.764 5.764
Rb 0.000 0.000 0.000
```

Values from the calculation:
- distance to the lowest polymorph of the same formula (eV/f.u.) = 1.76
- E_tot (Ha/atom) = -0.108

=====

4.
A plane-wave DFT calculation with PBE was carried out for a relaxed structure of RbAlMo.

```
3
Lattice="-0.149 -2.094 4.427 0.434 2.755 4.029 -3.875 0.705 2.915" Properties=species:S:1:pos:R:3 pbc="T T T"
Al -0.898 0.341 2.843
Mo 0.000 0.000 0.000
Rb -2.693 1.024 8.528
```

Values from the calculation:
- distance to the lowest polymorph of the same formula (eV/f.u.) = 0.00
- E_tot (Ha/atom) = -0.129

=====

5.
A plane-wave DFT calculation with PBE was carried out for a relaxed structure of Al8Re2Mo.

```
11
Lattice="4.587 -1.724 0.000 4.587 1.724 0.000 -2.333 0.000 10.271" Properties=species:S:1:pos:R:3 pbc="T T T"
Al 6.422 0.000 0.925
Al 3.713 0.000 1.849
Al 0.989 0.000 2.822
Al 4.702 0.000 4.700
Al 2.140 0.000 5.571
Al 5.853 0.000 7.450
Al 3.129 0.000 8.422
Al 0.419 0.000 9.346
Mo 0.000 0.000 0.000
Re 7.396 0.000 3.617
Re -0.554 0.000 6.655
```

Values from the calculation:
- E_tot (Ha/atom) = -0.230

=====

6.
A plane-wave DFT calculation with PBE was carried out for a relaxed structure of AlReMo.

```
3
Lattice="0.000 2.998 2.998 2.998 0.000 2.998 2.998 2.998 0.000" Properties=species:S:1:pos:R:3 pbc="T T T"
Al 1.499 1.499 1.499
Mo 4.497 4.497 4.497
Re 0.000 0.000 0.000
```

Values from the calculation:
- distance to the lowest polymorph of the same formula (eV/f.u.) = 0.00
- E_tot (Ha/atom) = -0.319